Crystalline FeOsSe2 at its relaxed geometry, computed with PBE.

```
FeOsSe2
1.0
1.544 0.892 7.894
-1.544 0.892 7.894
0.000 -1.783 7.894
Fe Os Se
1 1 2
Direct
0.000 0.000 0.000
0.500 0.500 0.500
0.400 0.400 0.400
0.600 0.600 0.600
```

## Properties
The symmetry is R-3m, No. 166. The calculation puts the volume at 16.306 Å³/atom. For the density of states at the Fermi level, the calculation gives 3.94 states/eV/cell. The value obtained for the energy relative to the lowest polymorph listed for this composition is 383 meV per atom.